[1]
The following is a DFT calculation (GGA-PBE) of a relaxed ScZnCd2 crystal.

Output
E_tot ... -2.41 eV/atom
Energy relative to the elements ... -5 kJ per mole of atoms
Crystal system ... monoclinic
Size of the total moment ... 0.101 μB per atom

```
ScZnCd2
1.0
5.957 0.000 0.000
0.000 10.147 0.000
-1.117 0.000 2.740
Sc Zn Cd
2 2 4
Direct
0.000 0.000 0.000
0.500 0.500 0.000
0.000 0.500 0.000
0.500 0.000 0.000
0.250 0.250 0.500
0.250 0.750 0.500
0.750 0.250 0.500
0.750 0.750 0.500
```

[2]
The following is a DFT calculation (GGA-PBE) of a relaxed ScZn2Cd crystal.

Output
E_tot ... -2.46 eV/atom
Energy relative to the elements ... -1 kJ per mole of atoms
Crystal system ... trigonal
Size of the total moment ... 0.000 μB per atom

```
ScZn2Cd
1.0
3.245 0.000 0.000
-1.623 2.811 0.000
0.000 0.000 26.278
Sc Zn Cd
3 6 3
Direct
0.000 0.000 0.000
0.333 0.667 0.667
0.667 0.333 0.333
0.000 0.000 0.488
0.000 0.000 0.750
0.333 0.667 0.155
0.333 0.667 0.417
0.667 0.333 0.084
0.667 0.333 0.821
0.000 0.000 0.239
0.333 0.667 0.905
0.667 0.333 0.572
```

[3]
The following is a DFT calculation (GGA-PBE) of a relaxed Sc3Zn2Cd3 crystal.

Output
E_tot ... -3.31 eV/atom
Energy relative to the elements ... -26 kJ per mole of atoms
Crystal system ... hexagonal
Size of the total moment ... 0.000 μB per atom

```
Sc3Zn2Cd3
1.0
7.342 0.000 0.000
-3.671 6.358 0.000
0.000 0.000 3.530
Sc Zn Cd
3 2 3
Direct
0.000 0.592 0.000
0.408 0.408 0.000
0.592 0.000 0.000
0.333 0.667 0.500
0.667 0.333 0.500
0.000 0.238 0.500
0.238 0.000 0.500
0.762 0.762 0.500
```

[4]
The following is a DFT calculation (GGA-PBE) of a relaxed Sc4ZnCd3 crystal.

Output
E_tot ... -3.98 eV/atom
Energy relative to the elements ... -30 kJ per mole of atoms
Crystal system ... tetragonal
Size of the total moment ... 0.000 μB per atom

```
Sc4ZnCd3
1.0
3.448 0.000 0.000
0.000 3.448 0.000
0.000 0.000 14.319
Sc Zn Cd
4 1 3
Direct
0.000 0.000 0.112
0.000 0.000 0.372
0.000 0.000 0.628
0.000 0.000 0.888
0.500 0.500 0.000
0.500 0.500 0.242
0.500 0.500 0.500
0.500 0.500 0.758
```

[5]
The following is a DFT calculation (GGA-PBE) of a relaxed Sc3Zn8Cd3 crystal.

Output
E_tot ... -2.49 eV/atom
Energy relative to the elements ... -20 kJ per mole of atoms
Crystal system ... orthorhombic
Size of the total moment ... 0.000 μB per atom

```
Sc3Zn8Cd3
1.0
-1.750 5.430 6.695
1.750 -5.430 6.695
1.750 5.430 -6.695
Sc Zn Cd
3 8 3
Direct
0.000 0.000 0.000
0.304 0.304 0.000
0.696 0.696 0.000
0.041 0.653 0.387
0.116 0.829 0.287
0.266 0.653 0.613
0.458 0.171 0.287
0.542 0.829 0.713
0.734 0.347 0.387
0.884 0.171 0.713
0.959 0.347 0.613
0.277 0.500 0.777
0.500 0.000 0.500
0.723 0.500 0.223
```

[6]
The following is a DFT calculation (GGA-PBE) of a relaxed ScZn9Cd2 crystal.

Output
E_tot ... -1.71 eV/atom
Energy relative to the elements ... -8 kJ per mole of atoms
Crystal system ... trigonal
Size of the total moment ... 0.000 μB per atom

```
ScZn9Cd2
1.0
2.613 1.508 8.437
-2.613 1.508 8.437
0.000 -3.017 8.437
Sc Zn Cd
1 9 2
Direct
0.000 0.000 0.000
0.081 0.585 0.585
0.333 0.333 0.333
0.415 0.415 0.919
0.415 0.919 0.415
0.500 0.500 0.500
0.585 0.081 0.585
0.585 0.585 0.081
0.667 0.667 0.667
0.919 0.415 0.415
0.137 0.137 0.137
0.863 0.863 0.863
```

[7]
The following is a DFT calculation (GGA-PBE) of a relaxed ScZnCd2 crystal.

Output
E_tot ... -2.59 eV/atom
Energy relative to the elements ... -22 kJ per mole of atoms
Crystal system ... tetragonal
Size of the total moment ... 0.000 μB per atom

```
ScZnCd2
1.0
4.573 0.000 0.000
0.000 4.573 0.000
0.000 0.000 15.193
Sc Zn Cd
4 4 8
Direct
0.000 0.000 0.141
0.000 0.000 0.859
0.500 0.500 0.359
0.500 0.500 0.641
0.000 0.500 0.250
0.000 0.500 0.750
0.500 0.000 0.250
0.500 0.000 0.750
0.000 0.000 0.361
0.000 0.000 0.639
0.000 0.500 0.000
0.000 0.500 0.500
0.500 0.000 0.000
0.500 0.000 0.500
0.500 0.500 0.139
0.500 0.500 0.861
```

[8]
The following is a DFT calculation (GGA-PBE) of a relaxed ScZn2Cd crystal.

Output
E_tot ... -2.66 eV/atom
Energy relative to the elements ... -20 kJ per mole of atoms
Crystal system ... orthorhombic
Size of the total moment ... 0.000 μB per atom

```
ScZn2Cd
1.0
3.987 0.000 0.000
0.000 4.317 0.000
0.000 0.000 4.334
Sc Zn Cd
1 2 1
Direct
0.000 0.000 0.000
0.500 0.000 0.500
0.500 0.500 0.000
0.000 0.500 0.500
```

[9]
The following is a DFT calculation (GGA-PBE) of a relaxed Sc3Zn7Cd crystal.

Output
E_tot ... -2.74 eV/atom
Energy relative to the elements ... -12 kJ per mole of atoms
Crystal system ... orthorhombic
Size of the total moment ... 0.000 μB per atom

```
Sc3Zn7Cd
1.0
1.606 -9.779 0.000
1.606 9.779 0.000
0.000 0.000 13.078
Sc Zn Cd
6 14 2
Direct
0.116 0.884 0.549
0.116 0.884 0.951
0.255 0.745 0.250
0.745 0.255 0.750
0.884 0.116 0.049
0.884 0.116 0.451
0.261 0.739 0.570
0.261 0.739 0.930
0.370 0.630 0.652
0.370 0.630 0.848
0.403 0.597 0.250
0.495 0.505 0.590
0.495 0.505 0.910
0.505 0.495 0.090
0.505 0.495 0.410
0.597 0.403 0.750
0.630 0.370 0.152
0.630 0.370 0.348
0.739 0.261 0.070
0.739 0.261 0.430
0.030 0.970 0.250
0.970 0.030 0.750
```

[10]
The following is a DFT calculation (GGA-PBE) of a relaxed ScZnCd crystal.

Output
E_tot ... -3.05 eV/atom
Energy relative to the elements ... -21 kJ per mole of atoms
Crystal system ... tetragonal
Size of the total moment ... 0.142 μB per atom

```
ScZnCd
1.0
3.114 0.000 0.000
0.000 3.114 0.000
0.000 0.000 12.165
Sc Zn Cd
2 2 2
Direct
0.000 0.000 0.000
0.500 0.500 0.500
0.000 0.000 0.654
0.500 0.500 0.154
0.000 0.000 0.314
0.500 0.500 0.814
```

[11]
The following is a DFT calculation (GGA-PBE) of a relaxed ScZnCd crystal.

Output
E_tot ... -2.94 eV/atom
Energy relative to the elements ... -10 kJ per mole of atoms
Crystal system ... orthorhombic
Size of the total moment ... 0.013 μB per atom

```
ScZnCd
1.0
3.086 0.000 0.000
0.000 4.449 0.000
0.000 0.000 8.696
Sc Zn Cd
2 2 2
Direct
0.000 0.000 0.000
0.500 0.500 0.500
0.000 0.000 0.661
0.500 0.500 0.161
0.000 0.000 0.333
0.500 0.500 0.833
```

[12]
The following is a DFT calculation (GGA-PBE) of a relaxed ScZnCd5 crystal.

Output
E_tot ... -1.87 eV/atom
Energy relative to the elements ... -13 kJ per mole of atoms
Crystal system ... tetragonal
Size of the total moment ... 0.000 μB per atom

```
ScZnCd5
1.0
4.597 0.000 0.000
0.000 4.597 0.000
0.000 0.000 7.205
Sc Zn Cd
1 1 5
Direct
0.000 0.000 0.000
0.000 0.000 0.500
0.000 0.500 0.287
0.000 0.500 0.713
0.500 0.000 0.287
0.500 0.000 0.713
0.500 0.500 0.000
```